# 1
Density functional theory data (PBE-GGA) for crystalline K2CrSe at its relaxed geometry.

Its raw total energy is -0.1459 Ha/atom.

a = 12.455 Å, b = 12.455 Å, c = 9.139 Å
α = 47.05°, β = 47.05°, γ = 90.00°
Each line ends with the local moment (μB).
Positions (direct):
Cr (0.500, 0.500, 0.000)  3.89
Cr (0.250, 0.750, 0.500)  3.89
K (0.802, 0.125, 0.250)  0.00
K (0.948, 0.625, 0.250)  0.00
K (0.375, 0.198, 0.750)  0.00
K (0.875, 0.052, 0.750)  0.00
Se (0.000, 0.000, 0.000)  -0.07
Se (0.750, 0.250, 0.500)  -0.07

---

# 2
Density functional theory data (PBE-GGA) for crystalline SrScAsBr2 at its relaxed geometry.

Its excess energy over the best structure of this formula in the dataset is 0.9156 eV per atom.

a = 5.575 Å, b = 5.575 Å, c = 6.135 Å
α = 90.00°, β = 90.00°, γ = 90.00°
Each line ends with the local moment (μB).
Positions (direct):
Sc (0.500, 0.500, 0.500)  0.74
Sr (0.000, 0.000, 0.000)  -0.02
As (0.000, 0.000, 0.500)  -0.34
Br (0.000, 0.500, 0.000)  -0.02
Br (0.500, 0.000, 0.000)  -0.02